Material: YCo2
Method: DFT, PBE
State: optimized geometry

M_tot   3.678 μB per cell
Calculated total energy   -7.070 eV/atom
SG   Fd-3m, No. 227
E_form   -0.18 eV/atom
Mass density   7.5 Mg/m³

abc: 5.065 5.065 5.065
angles: 120.00 90.00 120.00
Each line ends with the local moment (μB).
Fractional positions:
1 Co 0.500 0.000 0.500  1.22
2 Co 0.000 0.500 0.500  1.07
3 Co 0.500 0.000 0.000  1.20
4 Co 0.500 0.500 0.500  1.02
5 Y 0.125 0.250 0.875  -0.24
6 Y 0.875 0.750 0.125  -0.24